Entry a
An optimized crystal structure of Pu3Ga3Pd2. Source: Alexandria, functional PBE-GGA.

a b c (Å): 4.6244 4.4077 8.6042
angles (deg): 104.86 105.59 90.00
Sites, in units of the cell vectors:
1 Ga 0.8497 0.3501 0.6994
2 Ga 0.5000 0.5000 0.0000
3 Ga 0.1503 0.6499 0.3006
4 Pd 0.7603 0.7611 0.5206
5 Pd 0.2397 0.2389 0.4794
6 Pu 0.0000 0.0000 0.0000
7 Pu 0.3705 0.8701 0.7410
8 Pu 0.6295 0.1299 0.2590

space-group type = C2/m, No. 12
magnetization = 16.5 μB per cell

Entry b
An optimized crystal structure of Pu3Ga3Pd2. Source: Alexandria, functional PBE-GGA.

a b c (Å): 5.5816 8.2517 14.8467
angles (deg): 90.00 90.00 90.00
Sites, in units of the cell vectors:
1 Ga 0.5983 0.3131 0.4631
2 Ga 0.5983 0.3131 0.0369
3 Ga 0.4017 0.6869 0.9631
4 Ga 0.8771 0.8228 0.7500
5 Ga 0.3771 0.6772 0.2500
6 Ga 0.4017 0.6869 0.5369
7 Ga 0.6229 0.3228 0.7500
8 Ga 0.0983 0.1869 0.5369
9 Ga 0.1229 0.1772 0.2500
10 Ga 0.9017 0.8131 0.4631
11 Ga 0.9017 0.8131 0.0369
12 Ga 0.0983 0.1869 0.9631
13 Pd 0.3743 0.3981 0.8919
14 Pd 0.6257 0.6019 0.1081
15 Pd 0.1257 0.8981 0.8919
16 Pd 0.8743 0.1019 0.3919
17 Pd 0.8743 0.1019 0.1081
18 Pd 0.3743 0.3981 0.6081
19 Pd 0.1257 0.8981 0.6081
20 Pd 0.6257 0.6019 0.3919
21 Pu 0.8876 0.5382 0.6089
22 Pu 0.1124 0.4618 0.3911
23 Pu 0.6124 0.0382 0.6089
24 Pu 0.1137 0.1723 0.7500
25 Pu 0.3876 0.9618 0.1089
26 Pu 0.8876 0.5382 0.8911
27 Pu 0.8863 0.8277 0.2500
28 Pu 0.3863 0.6723 0.7500
29 Pu 0.3876 0.9618 0.3911
30 Pu 0.6124 0.0382 0.8911
31 Pu 0.6137 0.3277 0.2500
32 Pu 0.1124 0.4618 0.1089

space-group type = Pnma, No. 62
magnetization = 67.8 μB per cell

Of them, entry a has the lowest stability.

Entry a
An optimized crystal structure of PuGaPd4. Source: Alexandria, functional PBE-GGA.

a b c (Å): 5.3481 5.3481 5.3481
angles (deg): 60.00 60.00 60.00
Sites, in units of the cell vectors:
1 Pd 0.1236 0.6255 0.6255
2 Pd 0.6255 0.6255 0.6255
3 Pd 0.6255 0.6255 0.1236
4 Pd 0.6255 0.1236 0.6255
5 Ga 0.0000 0.0000 0.0000
6 Pu 0.2500 0.2500 0.2500

space-group type = F-43m, No. 216
magnetization = 5.2 μB per cell

Entry b
An optimized crystal structure of PuGaPd4. Source: Alexandria, functional PBE-GGA.

a b c (Å): 5.3589 4.6767 9.0133
angles (deg): 105.06 107.26 90.06
Sites, in units of the cell vectors:
1 Pd 0.5551 0.1545 0.8099
2 Pd 0.2546 0.6547 0.8099
3 Pd 0.9840 0.0783 0.6574
4 Pd 0.0160 0.9217 0.3426
5 Pd 0.4449 0.8455 0.1901
6 Pd 0.6731 0.5781 0.6573
7 Pd 0.3269 0.4219 0.3427
8 Pd 0.7454 0.3453 0.1901
9 Ga 0.0000 0.5000 0.5000
10 Ga 0.5000 0.0000 0.5000
11 Pu 0.1836 0.2500 0.0000
12 Pu 0.8164 0.7500 0.0000

space-group type = Imma, No. 74
magnetization = 10.2 μB per cell

Of them, entry a has the lowest stability.

Entry a
An optimized crystal structure of Pu2Ga3Pd2. Source: Alexandria, functional PBE-GGA.

a b c (Å): 3.2296 6.0420 7.2383
angles (deg): 84.98 90.00 105.50
Sites, in units of the cell vectors:
1 Ga 0.5000 0.0000 0.0000
2 Ga 0.5784 0.1569 0.3540
3 Ga 0.4216 0.8431 0.6460
4 Pu 0.8480 0.6960 0.3178
5 Pu 0.1520 0.3040 0.6822
6 Pd 0.8358 0.6715 0.8946
7 Pd 0.1642 0.3285 0.1054

space-group type = C2/m, No. 12
magnetization = 11.2 μB per cell

Entry b
An optimized crystal structure of Pu2Ga3Pd2. Source: Alexandria, functional PBE-GGA.

a b c (Å): 3.4478 6.1919 7.3686
angles (deg): 123.53 90.00 106.17
Sites, in units of the cell vectors:
1 Pu 0.8143 0.6286 0.1218
2 Pu 0.1857 0.3714 0.8782
3 Ga 0.4197 0.8395 0.5531
4 Ga 0.5803 0.1605 0.4469
5 Ga 0.5000 0.0000 0.0000
6 Pd 0.8392 0.6785 0.7068
7 Pd 0.1608 0.3215 0.2932

space-group type = C2/m, No. 12
magnetization = 0.9 μB per cell

Of them, entry b has the lowest stability.

Entry a
An optimized crystal structure of Pu3GaPd2. Source: Alexandria, functional PBE-GGA.

a b c (Å): 3.8135 3.8135 8.8721
angles (deg): 90.00 90.00 90.00
Sites, in units of the cell vectors:
1 Pd 0.5000 0.5000 0.1677
2 Pd 0.5000 0.5000 0.8323
3 Pu 0.0000 0.0000 0.6668
4 Pu 0.0000 0.0000 0.0000
5 Pu 0.0000 0.0000 0.3332
6 Ga 0.5000 0.5000 0.5000

space-group type = P4/mmm, No. 123
magnetization = 17.1 μB per cell

Entry b
An optimized crystal structure of Pu3GaPd2. Source: Alexandria, functional PBE-GGA.

a b c (Å): 5.6274 6.8532 6.8532
angles (deg): 100.40 90.00 90.00
Sites, in units of the cell vectors:
1 Ga 0.2500 0.6342 0.3658
2 Ga 0.7500 0.3658 0.6342
3 Pu 0.7500 0.5843 0.0767
4 Pu 0.7500 0.9233 0.4157
5 Pu 0.2500 0.0767 0.5843
6 Pu 0.2500 0.9232 0.0768
7 Pu 0.2500 0.4157 0.9233
8 Pu 0.7500 0.0768 0.9232
9 Pd 0.5000 0.6958 0.6958
10 Pd 0.0000 0.3042 0.3042
11 Pd 0.5000 0.3042 0.3042
12 Pd 0.0000 0.6958 0.6958

space-group type = Cmcm, No. 63
magnetization = 36.1 μB per cell

Of them, entry b has the lowest stability.

Entry a
An optimized crystal structure of Rb2Ga2Pd. Source: Alexandria, functional PBE-GGA.

a b c (Å): 4.6909 4.6909 8.0939
angles (deg): 73.16 73.16 90.00
Sites, in units of the cell vectors:
1 Rb 0.7500 0.2500 0.5000
2 Rb 0.2500 0.7500 0.5000
3 Ga 0.5809 0.5809 0.8381
4 Ga 0.4191 0.4191 0.1619
5 Pd 0.0000 0.0000 0.0000

space-group type = I4/mmm, No. 139
magnetization = 0.0 μB per cell

Entry b
An optimized crystal structure of Rb2Ga2Pd. Source: Alexandria, functional PBE-GGA.

a b c (Å): 6.8424 6.8424 6.0676
angles (deg): 90.00 90.00 90.00
Sites, in units of the cell vectors:
1 Rb 0.6879 0.8121 0.5000
2 Rb 0.1879 0.6879 0.5000
3 Rb 0.8121 0.3121 0.5000
4 Rb 0.3121 0.1879 0.5000
5 Ga 0.6409 0.1409 0.0000
6 Ga 0.3591 0.8591 0.0000
7 Ga 0.8591 0.6409 0.0000
8 Ga 0.1409 0.3591 0.0000
9 Pd 0.5000 0.5000 0.0000
10 Pd 0.0000 0.0000 0.0000

space-group type = P4/mbm, No. 127
magnetization = 0.0 μB per cell

Of them, entry a has the lowest stability.

Entry a
An optimized crystal structure of RbGaPd3. Source: Alexandria, functional PBE-GGA.

a b c (Å): 5.1878 5.1878 5.1878
angles (deg): 90.00 90.00 90.00
Sites, in units of the cell vectors:
1 Pd 0.5000 0.0000 0.0000
2 Pd 0.0000 0.0000 0.5000
3 Pd 0.0000 0.5000 0.0000
4 Rb 0.0000 0.0000 0.0000
5 Ga 0.5000 0.5000 0.5000

space-group type = Pm-3m, No. 221
magnetization = 0.0 μB per cell

Entry b
An optimized crystal structure of RbGaPd3. Source: Alexandria, functional PBE-GGA.

a b c (Å): 4.8471 4.8471 4.8471
angles (deg): 90.00 90.00 90.00
Sites, in units of the cell vectors:
1 Pd 0.0000 0.5000 0.0000
2 Pd 0.5000 0.0000 0.0000
3 Pd 0.0000 0.0000 0.5000
4 Ga 0.0000 0.0000 0.0000
5 Rb 0.5000 0.5000 0.5000

space-group type = Pm-3m, No. 221
magnetization = 0.0 μB per cell

Of them, entry a has the lowest stability.